Compound: ZrScRe
Source: the Alexandria database
Functional: PBE
Structure: relaxed

```
ZrScRe
1.0
7.5248 0.0142 -0.0100
6.6844 2.9012 -0.0104
0.8404 -0.9758 2.7171
Zr Re Sc
1 1 1
Cartesian
9.5268 1.5525 0.9384 Zr
0.8419 -0.9753 2.7168 Re
5.5212 0.3866 1.7586 Sc
```

Values from the calculation:
DOS at the Fermi energy	1.18	states/eV/atom
space group	Fmm2
electronic total energy	-27.2	eV for the cell shown